one | Here is a geometry-optimized TbNd5Y4 structure from Alexandria via LeMat-Bulk. Energies are from PBE-GGA.

Computed properties:
Size of the total moment, μB per cell: 0.00
Space group: P-1, No. 2
Crystal system: triclinic

a = 3.5837 Å, b = 11.0934 Å, c = 9.3240 Å
α = 103.26°, β = 101.03°, γ = 90.02°
Positions (direct):
Y (0.9762, 0.7426, 0.9526)
Y (0.0238, 0.2574, 0.0474)
Y (0.3236, 0.7796, 0.6453)
Y (0.6764, 0.2204, 0.3547)
Nd (0.1611, 0.9149, 0.3239)
Nd (0.5000, 0.5000, 0.0000)
Nd (0.8325, 0.4754, 0.6620)
Nd (0.1675, 0.5246, 0.3380)
Nd (0.8389, 0.0851, 0.6761)
Tb (0.5000, 0.0000, 0.0000)

***

two | Here is a geometry-optimized TbNd5Y4 structure from Alexandria via LeMat-Bulk. Energies are from PBE-GGA.

Computed properties:
Size of the total moment, μB per cell: 0.00
Space group: Pmmn, No. 59
Crystal system: orthorhombic

a = 8.0213 Å, b = 9.2834 Å, c = 9.3075 Å
α = 90.00°, β = 90.00°, γ = 90.00°
Positions (direct):
Tb (0.8817, 0.0000, 0.0000)
Tb (0.1183, 0.5000, 0.5000)
Nd (0.1903, 0.8116, 0.8119)
Nd (0.1903, 0.1884, 0.1881)
Nd (0.1903, 0.8116, 0.1881)
Nd (0.9982, 0.0000, 0.5000)
Nd (0.8097, 0.3116, 0.6881)
Nd (0.8097, 0.6884, 0.3119)
Nd (0.0018, 0.5000, 0.0000)
Nd (0.1903, 0.1884, 0.8119)
Nd (0.8097, 0.3116, 0.3119)
Nd (0.8097, 0.6884, 0.6881)
Y (0.4066, 0.5000, 0.7666)
Y (0.5951, 0.2723, 0.0000)
Y (0.4066, 0.5000, 0.2334)
Y (0.4049, 0.7723, 0.5000)
Y (0.5934, 0.0000, 0.7334)
Y (0.4049, 0.2277, 0.5000)
Y (0.5934, 0.0000, 0.2666)
Y (0.5951, 0.7277, 0.0000)

***

Tell me which of them is the least stable. Sure, it is one.

***

one | Here is a geometry-optimized Tb2Nd3Y structure from Alexandria via LeMat-Bulk. Energies are from PBE-GGA.

Computed properties:
Size of the total moment, μB per cell: 0.00
Space group: P2_1/m, No. 11
Crystal system: monoclinic

a = 3.5905 Å, b = 9.7570 Å, c = 11.7014 Å
α = 85.80°, β = 90.00°, γ = 90.00°
Positions (direct):
Tb (0.7500, 0.5610, 0.1448)
Tb (0.2500, 0.9184, 0.6203)
Tb (0.2500, 0.4390, 0.8552)
Tb (0.7500, 0.0816, 0.3797)
Nd (0.7500, 0.7587, 0.8604)
Nd (0.7500, 0.9244, 0.1199)
Nd (0.2500, 0.4008, 0.3968)
Nd (0.2500, 0.0756, 0.8801)
Nd (0.2500, 0.2413, 0.1396)
Nd (0.7500, 0.5992, 0.6032)
Y (0.2500, 0.7592, 0.3556)
Y (0.7500, 0.2408, 0.6444)

***

two | Here is a geometry-optimized Tb2Nd3Y structure from Alexandria via LeMat-Bulk. Energies are from PBE-GGA.

Computed properties:
Size of the total moment, μB per cell: 0.00
Space group: C2/m, No. 12
Crystal system: monoclinic

a = 3.5670 Å, b = 6.8889 Å, c = 17.7043 Å
α = 79.67°, β = 84.22°, γ = 75.00°
Positions (direct):
Y (0.5413, 0.5987, 0.3188)
Y (0.4587, 0.4013, 0.6812)
Nd (0.7318, 0.8728, 0.6635)
Nd (0.9330, 0.9675, 0.1666)
Nd (0.3726, 0.2646, 0.9901)
Nd (0.0670, 0.0325, 0.8334)
Nd (0.6274, 0.7354, 0.0099)
Nd (0.2682, 0.1272, 0.3365)
Tb (0.8023, 0.5607, 0.8348)
Tb (0.6325, 0.2359, 0.4991)
Tb (0.1977, 0.4393, 0.1652)
Tb (0.3675, 0.7641, 0.5009)

***

Tell me which of them is the least stable. Sure, it is two.

***

one | Here is a geometry-optimized TbNd4Y2 structure from Alexandria via LeMat-Bulk. Energies are from PBE-GGA.

Computed properties:
Size of the total moment, μB per cell: 0.00
Space group: Cmmm, No. 65
Crystal system: orthorhombic

a = 6.0442 Å, b = 6.2041 Å, c = 7.2427 Å
α = 115.36°, β = 90.00°, γ = 90.00°
Positions (direct):
Nd (0.5000, 0.3632, 0.7265)
Nd (0.5000, 0.6368, 0.2735)
Nd (0.0000, 0.8068, 0.6135)
Nd (0.0000, 0.1932, 0.3865)
Y (0.5000, 0.1130, 0.2261)
Y (0.5000, 0.8870, 0.7739)
Tb (0.0000, 0.5000, 0.0000)

***

two | Here is a geometry-optimized TbNd4Y2 structure from Alexandria via LeMat-Bulk. Energies are from PBE-GGA.

Computed properties:
Size of the total moment, μB per cell: 0.00
Space group: Cmcm, No. 63
Crystal system: orthorhombic

a = 3.6025 Å, b = 11.2070 Å, c = 12.3570 Å
α = 90.00°, β = 90.00°, γ = 99.25°
Positions (direct):
Tb (0.3953, 0.7906, 0.2500)
Tb (0.6047, 0.2094, 0.7500)
Nd (0.0617, 0.1234, 0.2500)
Nd (0.5000, 0.0000, 0.5000)
Nd (0.2622, 0.5245, 0.6217)
Nd (0.2622, 0.5245, 0.8783)
Nd (0.5000, 0.0000, 0.0000)
Nd (0.9383, 0.8766, 0.7500)
Nd (0.7378, 0.4755, 0.3783)
Nd (0.7378, 0.4755, 0.1217)
Y (0.8732, 0.7465, 0.4899)
Y (0.1268, 0.2535, 0.9899)
Y (0.1268, 0.2535, 0.5101)
Y (0.8732, 0.7465, 0.0101)

***

Tell me which of them is the least stable. Sure, it is one.

***

one | Here is a geometry-optimized TbNd2Y4 structure from Alexandria via LeMat-Bulk. Energies are from PBE-GGA.

Computed properties:
Size of the total moment, μB per cell: 0.00
Space group: Cmcm, No. 63
Crystal system: orthorhombic

a = 5.6814 Å, b = 5.6748 Å, c = 16.7645 Å
α = 90.00°, β = 90.00°, γ = 120.04°
Positions (direct):
Y (0.5000, 0.0000, 0.5000)
Y (0.1656, 0.3311, 0.2500)
Y (0.8325, 0.6649, 0.1478)
Y (0.8344, 0.6689, 0.7500)
Y (0.5000, 0.0000, 0.0000)
Y (0.1675, 0.3351, 0.6478)
Y (0.8325, 0.6649, 0.3522)
Y (0.1675, 0.3351, 0.8522)
Nd (0.1662, 0.3324, 0.4435)
Nd (0.8338, 0.6676, 0.5565)
Nd (0.1662, 0.3324, 0.0565)
Nd (0.8338, 0.6676, 0.9435)
Tb (0.4990, 0.9979, 0.2500)
Tb (0.5010, 0.0021, 0.7500)

***

two | Here is a geometry-optimized TbNd2Y4 structure from Alexandria via LeMat-Bulk. Energies are from PBE-GGA.

Computed properties:
Size of the total moment, μB per cell: 0.00
Space group: P-1, No. 2
Crystal system: triclinic

a = 3.5781 Å, b = 8.8458 Å, c = 8.6821 Å
α = 119.30°, β = 101.87°, γ = 90.05°
Positions (direct):
Y (0.3548, 0.1549, 0.7097)
Y (0.2959, 0.7080, 0.5902)
Y (0.7041, 0.2920, 0.4098)
Y (0.6452, 0.8451, 0.2903)
Nd (0.9314, 0.5698, 0.8610)
Nd (0.0686, 0.4302, 0.1390)
Tb (0.0000, 0.0000, 0.0000)

***

Tell me which of them is the least stable. Sure, it is one.

***

one | Here is a geometry-optimized Tb2Nd5Y2 structure from Alexandria via LeMat-Bulk. Energies are from PBE-GGA.

Computed properties:
Size of the total moment, μB per cell: 0.00
Space group: Ima2, No. 46
Crystal system: orthorhombic

a = 11.9560 Å, b = 6.8261 Å, c = 10.2062 Å
α = 109.54°, β = 125.85°, γ = 90.00°
Positions (direct):
Nd (0.6287, 0.7403, 0.7113)
Nd (0.4174, 0.5290, 0.2887)
Nd (0.9856, 0.1509, 0.5000)
Nd (0.0144, 0.6509, 0.5000)
Nd (0.1840, 0.6652, 0.8999)
Nd (0.2159, 0.1652, 0.8999)
Nd (0.8160, 0.7653, 0.1001)
Nd (0.3713, 0.0290, 0.2887)
Nd (0.7841, 0.2653, 0.1001)
Nd (0.5826, 0.2403, 0.7113)
Tb (0.0000, 0.0588, 0.0000)
Tb (0.2509, 0.3389, 0.5000)
Tb (0.5000, 0.5588, 0.0000)
Tb (0.7491, 0.8389, 0.5000)
Y (0.3811, 0.9157, 0.7438)
Y (0.6189, 0.1720, 0.2562)
Y (0.1373, 0.6720, 0.2562)
Y (0.8627, 0.4157, 0.7438)

***

two | Here is a geometry-optimized Tb2Nd5Y2 structure from Alexandria via LeMat-Bulk. Energies are from PBE-GGA.

Computed properties:
Size of the total moment, μB per cell: 0.00
Space group: C2/m, No. 12
Crystal system: monoclinic

a = 8.1226 Å, b = 9.6110 Å, c = 9.5973 Å
α = 129.93°, β = 53.81°, γ = 147.69°
Positions (direct):
Y (0.7811, 0.5546, 0.1095)
Y (0.2189, 0.4454, 0.8905)
Tb (0.5557, 0.1097, 0.2198)
Tb (0.4443, 0.8903, 0.7802)
Nd (0.3342, 0.6672, 0.3334)
Nd (0.6658, 0.3328, 0.6666)
Nd (0.8880, 0.7772, 0.5543)
Nd (0.1120, 0.2228, 0.4457)
Nd (0.0000, 0.0000, 0.0000)

***

Tell me which of them is the least stable. Sure, it is one.